{"formula": "SrCoMoO5", "functional": "PBE with a Hubbard U", "state": "optimized geometry", "cell": [[5.8527, -0.0099, -0.0627], [-1.7180, 5.5949, -0.0627], [-1.7843, -2.4102, 6.9621]], "species": ["Sr", "Sr", "Co", "Co", "Mo", "Mo", "O", "O", "O", "O", "O", "O", "O", "O", "O", "O"], "frac_coords": [[0.3271, 0.6729, 0.2500], [0.6729, 0.3271, 0.7500], [0.6879, 0.3121, 0.2500], [0.3121, 0.6879, 0.7500], [0.0000, 0.0000, 0.5000], [0.0000, 0.0000, 0.0000], [0.0546, 0.9454, 0.2500], [0.9454, 0.0546, 0.7500], [0.8968, 0.2845, 0.0884], [0.1032, 0.7155, 0.9116], [0.7155, 0.1032, 0.4116], [0.2845, 0.8968, 0.5884], [0.7616, 0.6561, 0.4116], [0.2384, 0.3439, 0.5884], [0.3439, 0.2384, 0.0884], [0.6561, 0.7616, 0.9116]], "total_energy_ev_per_atom": -6.714, "volume_a3_per_atom": 14.130}